Entry 1:
# MnZn3F

MnZn3F at its PBEsol-relaxed geometry (SCAN, the Alexandria database).

Structure (extended XYZ):
```
5
Lattice="4.738 0.000 0.000 0.000 4.738 0.000 0.000 0.000 4.738" Properties=species:S:1:pos:R:3 pbc="T T T"
Mn 0.000 0.000 0.000
Zn 0.000 0.000 2.369
Zn 0.000 2.369 0.000
Zn 2.369 0.000 0.000
F 2.369 2.369 2.369
```

Calculated values
VASP energy   -12.223 eV/atom
Total magnetic moment   0.8321 μB/atom
Calculated volume   106.4 Å³/cell


Entry 2:
# Sc2TaCl

Sc2TaCl at its PBEsol-relaxed geometry (SCAN, the Alexandria database).

Structure (extended XYZ):
```
4
Lattice="3.066 0.000 0.000 0.000 3.066 0.000 0.000 0.000 8.256" Properties=species:S:1:pos:R:3 pbc="T T T"
Sc 0.000 0.000 2.061
Sc 0.000 0.000 6.194
Ta 1.533 1.533 0.000
Cl 1.533 1.533 4.128
```

Calculated values
Total magnetic moment   0.0000 μB/atom
Energy above the lowest structure with this stoichiometry   0 meV/atom
Calculated volume   77.6 Å³/cell


We obtain mass density values of 4218; 6554 kg/m³ for the records listed above, in that order.